1.
Pr2TmAl, relaxed, DFT PBE-GGA; magnetization = 0.00 Bohr magnetons per cell; energy above the most stable polymorph in this dataset = 44 meV/atom; space group = P4/mmm (123)
1.0
-0.6097 0.6465 -3.4858
-3.1734 -1.6765 0.2442
-4.0765 8.0373 2.2036
Al Pr Tm
1 2 1
Direct
0.5000 0.5000 0.0000 Al
0.0000 0.0000 0.7823 Pr
0.0000 0.0000 0.2177 Pr
0.5000 0.5000 0.5000 Tm

2.
Ba2GeSbAu6, relaxed, DFT PBE-GGA; magnetization = 0.00 Bohr magnetons per cell; space group = P-1 (2); uncorrected formation energy = -0.460 eV/atom
1.0
-3.0373 2.0063 6.2900
3.4811 -6.0262 2.7503
5.5844 -1.0187 4.8618
Au Ba Ge Sb
6 2 1 1
Direct
0.2595 0.7457 0.9859 Au
0.2616 0.2471 0.4863 Au
0.1075 0.2516 0.1469 Au
0.7405 0.2543 0.0141 Au
0.7384 0.7529 0.5137 Au
0.8925 0.7484 0.8531 Au
0.7208 0.2568 0.5350 Ba
0.2792 0.7432 0.4650 Ba
0.5000 0.5000 0.0000 Ge
0.0000 0.0000 0.0000 Sb

3.
BaRh3, relaxed, DFT PBE-GGA; magnetization = 1.48 Bohr magnetons per cell; space group = P-6m2 (187)
1.0
-3.7156 -0.0006 0.7507
1.4152 -2.4025 -2.5681
1.0687 -5.0205 5.2856
Rh Ba
3 1
Direct
0.6667 0.3333 0.6815 Rh
0.6667 0.3333 0.3185 Rh
0.0000 0.0000 0.5000 Rh
0.0000 0.0000 0.0000 Ba

4.
TaAuI2O, relaxed, DFT PBE-GGA; magnetization = 2.46 Bohr magnetons per cell; energy above the most stable polymorph in this dataset = 1380 meV/atom; space group = P4/mmm (123); uncorrected formation energy = 0.970 eV/atom
1.0
-2.7889 2.0517 4.5881
-4.1533 -3.8956 -0.7825
1.9141 -2.4988 2.2809
O Au Ta I
1 1 1 2
Direct
0.0000 0.0000 0.5000 O
0.0000 0.0000 0.0000 Au
0.5000 0.5000 0.5000 Ta
0.5000 0.0000 0.0000 I
0.0000 0.5000 0.0000 I

5.
Ti3SbPb, relaxed, DFT PBE-GGA; magnetization = 3.40 Bohr magnetons per cell; energy above the most stable polymorph in this dataset = 0 meV/atom; space group = Pm-3m (221); uncorrected formation energy = 0.620 eV/atom
1.0
5.0654 0.0000 0.0000
0.0000 5.0654 0.0000
0.0000 0.0000 5.0654
Ti Sb Pb
3 1 1
Direct
0.0000 0.5000 0.0000 Ti
0.5000 0.0000 0.0000 Ti
0.0000 0.0000 0.5000 Ti
0.0000 0.0000 0.0000 Sb
0.5000 0.5000 0.5000 Pb

6.
YOsS2N, relaxed, DFT PBE-GGA; magnetization = 3.71 Bohr magnetons per cell; energy above the most stable polymorph in this dataset = 1820 meV/atom; space group = P4/mmm (123); uncorrected formation energy = 1.327 eV/atom
1.0
5.2329 0.0000 0.0000
0.0000 5.2329 0.0000
0.0000 0.0000 4.1708
Y S N Os
1 2 1 1
Direct
0.0000 0.0000 0.0000 Y
0.5000 0.0000 0.0000 S
0.0000 0.5000 0.0000 S
0.0000 0.0000 0.5000 N
0.5000 0.5000 0.5000 Os

7.
Ho4BiSe3, relaxed, DFT PBE-GGA; magnetization = 0.00 Bohr magnetons per cell; space group = Pmmm (47); uncorrected formation energy = -1.464 eV/atom
1.0
-1.0214 -2.9101 2.8125
4.7196 1.4540 3.2184
-4.5507 5.6013 4.1429
Ho Se Bi
4 3 1
Direct
0.5000 0.0000 0.2709 Ho
0.5000 0.0000 0.7291 Ho
0.0000 0.5000 0.0000 Ho
0.0000 0.5000 0.5000 Ho
0.5000 0.5000 0.7474 Se
0.0000 0.0000 0.5000 Se
0.5000 0.5000 0.2526 Se
0.0000 0.0000 0.0000 Bi

8.
Sr3Sb4Rh2, relaxed, DFT PBE-GGA; magnetization = 0.00 Bohr magnetons per cell; space group = C2/m (12); uncorrected formation energy = -0.774 eV/atom
1.0
4.7087 0.0000 0.0000
-2.3543 6.0046 -0.0419
0.0000 -2.4742 8.7943
Sr Sb Rh
3 4 2
Direct
0.0000 0.0000 0.0000 Sr
0.3826 0.7652 0.3035 Sr
0.6174 0.2348 0.6965 Sr
0.1021 0.2042 0.3925 Sb
0.8979 0.7958 0.6075 Sb
0.2926 0.5851 0.9059 Sb
0.7074 0.4148 0.0941 Sb
0.2991 0.5982 0.6126 Rh
0.7009 0.4018 0.3874 Rh

9.
La2Ga4Cu3Ir, relaxed, DFT PBE-GGA; magnetization = 0.00 Bohr magnetons per cell; space group = P-4m2 (115)
1.0
-3.1902 -2.1421 -1.8736
2.1096 0.1090 -3.7167
4.6056 -8.9169 2.3527
Cu Ga La Ir
3 4 2 1
Direct
0.5000 0.0000 0.8694 Cu
0.0000 0.5000 0.1306 Cu
0.0000 0.0000 0.5000 Cu
0.0000 0.5000 0.3719 Ga
0.5000 0.0000 0.6281 Ga
0.0000 0.0000 0.0000 Ga
0.5000 0.5000 0.0000 Ga
0.5000 0.0000 0.2520 La
0.0000 0.5000 0.7480 La
0.5000 0.5000 0.5000 Ir

10.
Tb6CeSm2Tm3, relaxed, DFT PBE-GGA; magnetization = 1.06 Bohr magnetons per cell; space group = C2/m (12)
1.0
6.1551 -0.0005 0.0148
-3.0765 5.3310 0.0148
-1.0546 -1.8260 11.5781
Tm Tb Ce Sm
3 6 1 2
Direct
0.5000 0.5000 0.5000 Tm
0.8330 0.1670 0.5000 Tm
0.1670 0.8330 0.5000 Tm
0.5846 0.9156 0.7472 Tb
0.0844 0.4154 0.2528 Tb
0.9156 0.5846 0.7472 Tb
0.7533 0.7533 0.2531 Tb
0.2467 0.2467 0.7469 Tb
0.4154 0.0844 0.2528 Tb
0.0000 0.0000 0.0000 Ce
0.3335 0.6665 0.0000 Sm
0.6665 0.3335 0.0000 Sm

11.
Pm2InTe, relaxed, DFT PBE-GGA; magnetization = 0.00 Bohr magnetons per cell; energy above the most stable polymorph in this dataset = 160 meV/atom; space group = P4/mmm (123); uncorrected formation energy = -0.818 eV/atom
1.0
3.7403 0.0000 0.0000
0.0000 3.7403 0.0000
0.0000 0.0000 8.3016
Pm Te In
2 1 1
Direct
0.0000 0.0000 0.2401 Pm
0.0000 0.0000 0.7599 Pm
0.5000 0.5000 0.0000 Te
0.5000 0.5000 0.5000 In

12.
UMnSn, relaxed, DFT PBE-GGA; magnetization = 0.93 Bohr magnetons per cell; space group = I4mm (107)
1.0
-1.8025 2.2516 -1.1662
-2.1317 -0.5707 2.1929
4.5273 3.0180 2.9794
Mn U Sn
1 1 1
Direct
0.6694 0.6694 0.3388 Mn
0.3072 0.3072 0.6144 U
0.0234 0.0234 0.0468 Sn

13.
LiTa2Pb, relaxed, DFT PBE-GGA; magnetization = 0.00 Bohr magnetons per cell; space group = Imm2 (44)
1.0
5.2423 0.0009 -0.0059
1.8408 4.9085 0.0059
-3.1057 -3.0835 2.8859
Li Ta Pb
1 2 1
Direct
0.4946 0.4946 0.0000 Li
0.9931 0.9931 0.0000 Ta
0.7445 0.2445 0.5000 Ta
0.2678 0.7678 0.5000 Pb

14.
CePr2Ru2, relaxed, DFT PBE-GGA; magnetization = 0.00 Bohr magnetons per cell; energy above the most stable polymorph in this dataset = 0 meV/atom; space group = C2/c (15)
1.0
5.9138 0.0901 0.8648
2.6779 5.2735 0.8648
0.0249 0.0156 7.9835
Pr Ru Ce
4 4 2
Direct
0.4710 0.2245 0.1522 Pr
0.7755 0.5290 0.3478 Pr
0.5290 0.7755 0.8478 Pr
0.2245 0.4710 0.6522 Pr
0.9998 0.7407 0.0140 Ru
0.2593 0.0002 0.4860 Ru
0.0002 0.2593 0.9860 Ru
0.7407 0.9998 0.5140 Ru
0.1203 0.8797 0.2500 Ce
0.8797 0.1203 0.7500 Ce

15.
Ga3SbRu, relaxed, DFT PBE-GGA; magnetization = 1.29 Bohr magnetons per cell; energy above the most stable polymorph in this dataset = 0 meV/atom; space group = Pm-3m (221); uncorrected formation energy = 0.189 eV/atom
1.0
-3.7312 -2.2102 -2.2816
-1.1944 -2.2852 4.1669
-2.9435 3.7290 1.2013
Ru Ga Sb
1 3 1
Direct
0.0000 0.0000 0.0000 Ru
0.0000 0.0000 0.5000 Ga
0.5000 0.0000 0.0000 Ga
0.0000 0.5000 0.0000 Ga
0.5000 0.5000 0.5000 Sb

16.
ScMo2Se, relaxed, DFT PBE-GGA; magnetization = 0.00 Bohr magnetons per cell; energy above the most stable polymorph in this dataset = 84 meV/atom; space group = Imm2 (44); uncorrected formation energy = 0.004 eV/atom
1.0
-2.1480 2.0611 4.2608
-4.6580 -2.1114 0.9279
5.0357 -1.2009 -0.4646
Mo Se Sc
2 1 1
Direct
0.0051 0.0051 0.0000 Mo
0.2301 0.7301 0.5000 Mo
0.7608 0.2608 0.5000 Se
0.5040 0.5040 0.0000 Sc

17.
NaCaAg2C, relaxed, DFT PBE-GGA; magnetization = 2.07 Bohr magnetons per cell; space group = P4/mmm (123)
1.0
5.7146 0.0000 0.0000
0.0000 5.7146 0.0000
0.0000 0.0000 4.7296
Ag C Na Ca
2 1 1 1
Direct
0.0000 0.5000 0.0000 Ag
0.5000 0.0000 0.0000 Ag
0.0000 0.0000 0.5000 C
0.5000 0.5000 0.5000 Na
0.0000 0.0000 0.0000 Ca

18.
Na2PmTmF8, relaxed, DFT PBE-GGA; magnetization = 0.00 Bohr magnetons per cell; space group = Pmmm (47); uncorrected formation energy = -3.701 eV/atom
1.0
3.8550 -0.0023 -0.0021
0.0081 5.5783 -0.0059
0.0041 0.0093 7.7058
Na F Pm Tm
2 8 1 1
Direct
0.5000 0.5000 0.2401 Na
0.5000 0.5000 0.7599 Na
0.9995 0.2302 0.2404 F
0.4996 0.2227 0.0000 F
0.5004 0.7605 0.5000 F
0.0005 0.7698 0.7596 F
0.5004 0.7773 0.0000 F
0.0005 0.7698 0.2405 F
0.9995 0.2302 0.7595 F
0.4996 0.2395 0.5000 F
0.0000 0.0000 0.5000 Pm
0.0000 0.0000 0.0000 Tm

19.
Tl4In8Sn, relaxed, DFT PBE-GGA; magnetization = 0.00 Bohr magnetons per cell; space group = Cm (8)
1.0
-1.0959 3.1427 0.7852
-14.0361 -0.0282 -12.0304
-5.4730 -0.8897 3.3693
Tl In Sn
4 8 1
Direct
0.6303 0.4903 0.2491 Tl
0.8882 0.8187 0.4050 Tl
0.1935 0.1491 0.4640 Tl
0.3718 0.4591 0.7974 Tl
0.7916 0.6276 0.7893 In
0.7778 0.3094 0.1350 In
0.5056 0.6544 0.3344 In
0.2737 0.9723 0.4804 In
0.4513 0.1996 0.8978 In
0.0552 0.3348 0.5548 In
0.1624 0.7626 0.9126 In
0.9617 0.0439 0.0327 In
0.5822 0.9106 0.9249 Sn

20.
Cd2C, relaxed, DFT PBE-GGA; magnetization = 0.00 Bohr magnetons per cell; energy above the most stable polymorph in this dataset = 367 meV/atom; space group = Pa-3 (205)
1.0
5.9020 0.0000 0.0000
0.0000 5.9020 0.0000
0.0000 0.0000 5.9020
Cd C
8 4
Direct
0.1656 0.8344 0.6656 Cd
0.1656 0.6656 0.1656 Cd
0.6656 0.6656 0.3344 Cd
0.8344 0.3344 0.8344 Cd
0.6656 0.8344 0.8344 Cd
0.8344 0.1656 0.3344 Cd
0.3344 0.3344 0.6656 Cd
0.3344 0.1656 0.1656 Cd
0.0000 0.5000 0.5000 C
0.0000 0.0000 0.0000 C
0.5000 0.0000 0.5000 C
0.5000 0.5000 0.0000 C

Number 1: DFT total energy -18.3 eV for the cell shown. Number 2: DFT total energy -36.9 eV for the cell shown. Number 3: DFT total energy -21.8 eV for the cell shown. Number 4: DFT total energy -18.3 eV for the cell shown. Number 5: DFT total energy -28.4 eV for the cell shown. Number 6: DFT total energy -27.6 eV for the cell shown. Number 7: DFT total energy -44.4 eV for the cell shown. Number 8: DFT total energy -43.2 eV for the cell shown. Number 9: DFT total energy -48.1 eV for the cell shown. Number 10: DFT total energy -56.1 eV for the cell shown. Number 11: DFT total energy -18.7 eV for the cell shown. Number 12: DFT total energy -24.3 eV for the cell shown. Number 13: DFT total energy -27.5 eV for the cell shown. Number 14: DFT total energy -71.0 eV for the cell shown. Number 15: DFT total energy -21.5 eV for the cell shown. Number 16: DFT total energy -31.5 eV for the cell shown. Number 17: DFT total energy -12.0 eV for the cell shown. Number 18: DFT total energy -71.2 eV for the cell shown. Number 19: DFT total energy -34.9 eV for the cell shown. Number 20: DFT total energy -30.9 eV for the cell shown.